# ScNi3W, optimized geometry, DFT PBE-GGA
# Energy above the lowest structure with this stoichiometry, meV per atom: 0
# Energy relative to the elements, kJ per mole of atoms: 77
# M_tot, μB per cell: 0.0
# Energy, eV/atom: -6.53
data_ScNi3W
_chemical_formula_sum 'Sc1 Ni3 W1'
_cell_length_a 4.5075
_cell_length_b 4.5075
_cell_length_c 4.5075
_cell_angle_alpha 90.00
_cell_angle_beta 90.00
_cell_angle_gamma 90.00
_symmetry_space_group_name_H-M 'P m -3 m'
_symmetry_Int_Tables_number 221
_symmetry_space_group_name_Hall '-P 4 2 3'
loop_
_atom_site_label
_atom_site_fract_x
_atom_site_fract_y
_atom_site_fract_z
Sc1 0.0000 0.0000 0.0000
Ni1 0.0000 0.5000 0.5000
W1 0.5000 0.5000 0.5000